Record 1
# SmDyEr4

A relaxed SmDyEr4 crystal (PBE-GGA, Alexandria via LeMat-Bulk).

Properties
**Energy above the most stable polymorph in this dataset**: 0.000 eV per atom
**Fermi-level density of states**: 10.1 states/eV/cell
**Formation enthalpy at 0 K**: 0.0682 eV per atom
**Total magnetic moment**: 0.00 μB per formula unit

a = 3.450 Å, b = 6.576 Å, c = 9.654 Å
α = 90.00°, β = 90.00°, γ = 121.63°
Fractional positions:
Sm1 0.997 0.001 0.502
Dy1 0.497 0.501 0.002
Er1 0.997 0.501 0.670
Er2 0.997 0.501 0.333
Er3 0.497 0.001 0.167
Er4 0.497 0.001 0.836

Record 2
# K5Cd4In

A relaxed K5Cd4In crystal (PBE-GGA, Alexandria via LeMat-Bulk).

Properties
**Fermi-level density of states**: 5.7 states/eV/cell
**Formation enthalpy at 0 K**: -0.0473 eV per atom
**Total magnetic moment**: 0.00 μB per formula unit

a = 4.717 Å, b = 9.326 Å, c = 11.862 Å
α = 117.47°, β = 101.47°, γ = 90.00°
Fractional positions:
K1 0.144 0.279 0.289
K2 0.195 0.787 0.391
K3 0.805 0.213 0.609
K4 0.500 0.500 0.000
K5 0.856 0.721 0.711
Cd1 0.625 0.947 0.251
Cd2 0.965 0.151 0.930
Cd3 0.375 0.053 0.749
Cd4 0.035 0.849 0.070
In1 0.500 0.000 0.000

Record 3
# SmErMgGa

A relaxed SmErMgGa crystal (PBE-GGA, Alexandria via LeMat-Bulk).

Properties
**Fermi-level density of states**: 2.2 states/eV/cell
**Formation enthalpy at 0 K**: -0.3350 eV per atom
**Total magnetic moment**: 0.00 μB per formula unit

a = 5.193 Å, b = 5.193 Å, c = 5.193 Å
α = 60.00°, β = 60.00°, γ = 60.00°
Fractional positions:
Mg1 0.750 0.750 0.750
Ga1 0.250 0.250 0.250
Sm1 0.500 0.500 0.500
Er1 0.000 0.000 0.000

Record 4
# PrHfPd2

A relaxed PrHfPd2 crystal (PBE-GGA, Alexandria via LeMat-Bulk).

Properties
**Energy above the most stable polymorph in this dataset**: 0.000 eV per atom
**Fermi-level density of states**: 3.3 states/eV/cell
**Formation enthalpy at 0 K**: -0.6812 eV per atom
**Total magnetic moment**: 0.00 μB per formula unit

a = 3.351 Å, b = 3.351 Å, c = 7.553 Å
α = 90.00°, β = 90.00°, γ = 90.00°
Fractional positions:
Pr1 0.500 0.500 0.500
Hf1 0.500 0.500 0.000
Pd1 0.000 0.000 0.801
Pd2 0.000 0.000 0.199